Record 1
# KBaLa PBE-GGA optimized geometry
# Crystal system   orthorhombic
# Energy of formation from the pure elements   37.53 kJ per mole of atoms
# Energy above the lowest structure with this stoichiometry   246 meV per atom
data_KBaLa
_cell_length_a 7.368
_cell_length_b 7.368
_cell_length_c 7.368
_cell_angle_alpha 149.38
_cell_angle_beta 128.57
_cell_angle_gamma 61.05
_space_group_name_H-M_alt 'P 1'
_space_group_IT_number 1
loop_
_space_group_symop_operation_xyz
'x,y,z'
loop_
_atom_site_label
_atom_site_type_symbol
_atom_site_fract_x
_atom_site_fract_y
_atom_site_fract_z
La1 La 0.663 0.663 0.000
Ba1 Ba 0.007 0.007 0.000
K1 K 0.331 0.331 0.000

Record 2
# Pm8Ho3Sc PBE-GGA optimized geometry
# Crystal system   tetragonal
# Energy of formation from the pure elements   54.89 kJ per mole of atoms
data_Pm8Ho3Sc
_cell_length_a 8.425
_cell_length_b 8.425
_cell_length_c 8.425
_cell_angle_alpha 93.31
_cell_angle_beta 118.11
_cell_angle_gamma 118.11
_space_group_name_H-M_alt 'P 1'
_space_group_IT_number 1
loop_
_space_group_symop_operation_xyz
'x,y,z'
loop_
_atom_site_label
_atom_site_type_symbol
_atom_site_fract_x
_atom_site_fract_y
_atom_site_fract_z
Sc1 Sc 0.000 0.000 0.000
Ho1 Ho 0.500 0.250 0.750
Pm1 Pm 0.000 0.259 0.783
Ho2 Ho 0.500 0.750 0.250
Pm2 Pm 0.477 0.217 0.217
Ho3 Ho 0.000 0.500 0.500
Pm3 Pm 0.746 0.115 0.115
Pm4 Pm 0.000 0.885 0.631
Pm5 Pm 0.000 0.783 0.259
Pm6 Pm 0.254 0.369 0.369
Pm7 Pm 0.000 0.631 0.885
Pm8 Pm 0.523 0.741 0.741

Record 3
# Na3Th3MnTe8 PBE-GGA optimized geometry
# Energy relative to the elements, uncorrected   -0.964 eV/atom
# Crystal system   trigonal
data_Na3Th3MnTe8
_cell_length_a 8.834
_cell_length_b 8.833
_cell_length_c 9.243
_cell_angle_alpha 118.54
_cell_angle_beta 90.00
_cell_angle_gamma 120.01
_space_group_name_H-M_alt 'P 1'
_space_group_IT_number 1
loop_
_space_group_symop_operation_xyz
'x,y,z'
loop_
_atom_site_label
_atom_site_type_symbol
_atom_site_fract_x
_atom_site_fract_y
_atom_site_fract_z
Te1 Te 0.235 0.991 0.726
Te2 Te 0.244 0.009 0.274
Mn1 Mn 0.000 0.000 0.500
Te3 Te 0.251 0.502 0.253
Te4 Te 0.765 0.009 0.274
Th1 Th 0.500 0.000 0.500
Na1 Na 0.500 0.500 0.000
Na2 Na 0.000 0.500 0.000
Te5 Te 0.235 0.470 0.726
Te6 Te 0.756 0.991 0.726
Na3 Na 0.000 0.000 0.000
Th2 Th 0.000 0.500 0.500
Th3 Th 0.500 0.500 0.500
Te7 Te 0.749 0.498 0.747
Te8 Te 0.765 0.530 0.274

Record 4
# Ba4NdYCu8O16 PBE-GGA optimized geometry
# Energy relative to the elements, uncorrected   -1.648 eV/atom
# Crystal system   orthorhombic
data_Ba4NdYCu8O16
_cell_length_a 3.905
_cell_length_b 3.910
_cell_length_c 27.652
_cell_angle_alpha 90.00
_cell_angle_beta 90.00
_cell_angle_gamma 90.00
_space_group_name_H-M_alt 'P 1'
_space_group_IT_number 1
loop_
_space_group_symop_operation_xyz
'x,y,z'
loop_
_atom_site_label
_atom_site_type_symbol
_atom_site_fract_x
_atom_site_fract_y
_atom_site_fract_z
Ba1 Ba 0.000 0.500 0.363
O1 O 0.000 0.000 0.720
O2 O 0.500 0.000 0.782
O3 O 0.500 0.500 0.444
Nd1 Nd 0.000 0.500 0.500
Cu1 Cu 0.500 0.000 0.565
Cu2 Cu 0.000 0.000 0.211
Y1 Y 0.500 0.500 0.000
O4 O 0.500 0.000 0.353
O5 O 0.000 0.000 0.555
O6 O 0.000 0.000 0.144
Cu3 Cu 0.000 0.000 0.938
Cu4 Cu 0.000 0.000 0.789
O7 O 0.000 0.500 0.052
Ba2 Ba 0.500 0.500 0.135
Cu5 Cu 0.500 0.000 0.714
Ba3 Ba 0.500 0.500 0.865
Cu6 Cu 0.500 0.000 0.286
O8 O 0.000 0.000 0.280
O9 O 0.500 0.000 0.647
O10 O 0.500 0.000 0.052
O11 O 0.500 0.000 0.218
O12 O 0.000 0.000 0.856
O13 O 0.500 0.000 0.948
O14 O 0.000 0.500 0.948
O15 O 0.500 0.500 0.556
Cu7 Cu 0.500 0.000 0.435
Ba4 Ba 0.000 0.500 0.637
Cu8 Cu 0.000 0.000 0.062
O16 O 0.000 0.000 0.445